Entry 1:
Density functional theory data (PBE-GGA) for Ba2Sb4P2O17 after structural relaxation.

As for the uncorrected formation energy: -1.978 eV per atom. For the density of states at the Fermi level, the calculation gives 0.000 states/eV/atom. As for the symmetry: Pnma.

Cell: 7.307 9.679 21.309 Å, 90.00 90.00 90.00°
Sites, in units of the cell vectors:
Ba  0.250  0.311  0.675
Ba  0.250  0.151  0.471
Ba  0.250  0.349  0.971
Ba  0.750  0.689  0.325
Ba  0.750  0.849  0.529
Ba  0.750  0.651  0.029
Ba  0.250  0.189  0.175
Ba  0.750  0.811  0.825
Sb  0.001  0.671  0.659
Sb  0.250  0.867  0.777
Sb  0.999  0.171  0.841
Sb  0.250  0.633  0.277
Sb  0.000  0.500  0.500
Sb  0.750  0.133  0.223
Sb  0.501  0.171  0.841
Sb  0.499  0.671  0.659
Sb  0.750  0.367  0.723
Sb  0.000  0.000  0.000
Sb  0.500  0.000  0.000
Sb  0.001  0.829  0.159
Sb  0.999  0.329  0.341
Sb  0.499  0.829  0.159
Sb  0.501  0.329  0.341
Sb  0.500  0.500  0.500
P  0.250  0.753  0.927
P  0.250  0.548  0.131
P  0.750  0.253  0.573
P  0.250  0.747  0.427
P  0.750  0.048  0.369
P  0.750  0.452  0.869
P  0.750  0.247  0.073
P  0.250  0.952  0.631
O  0.750  0.238  0.647
O  0.948  0.021  0.186
O  0.750  0.404  0.347
O  0.546  0.249  0.256
O  0.928  0.164  0.055
O  0.750  0.096  0.847
O  0.052  0.979  0.814
O  0.074  0.863  0.619
O  0.750  0.548  0.469
O  0.750  0.750  0.666
O  0.250  0.613  0.957
O  0.954  0.251  0.756
O  0.448  0.521  0.314
O  0.750  0.917  0.408
O  0.928  0.336  0.555
O  0.453  0.132  0.931
O  0.046  0.751  0.744
O  0.948  0.479  0.686
O  0.047  0.132  0.931
O  0.046  0.749  0.244
O  0.953  0.632  0.569
O  0.074  0.637  0.119
O  0.250  0.417  0.092
O  0.574  0.137  0.381
O  0.546  0.251  0.756
O  0.250  0.887  0.457
O  0.250  0.596  0.653
O  0.750  0.113  0.543
O  0.250  0.904  0.153
O  0.428  0.836  0.945
O  0.750  0.262  0.147
O  0.750  0.750  0.166
O  0.428  0.664  0.445
O  0.454  0.749  0.244
O  0.250  0.762  0.353
O  0.250  0.048  0.031
O  0.426  0.863  0.619
O  0.926  0.137  0.381
O  0.072  0.836  0.945
O  0.552  0.021  0.186
O  0.250  0.502  0.202
O  0.454  0.751  0.744
O  0.750  0.002  0.298
O  0.547  0.868  0.069
O  0.750  0.498  0.798
O  0.750  0.952  0.969
O  0.953  0.868  0.069
O  0.047  0.368  0.431
O  0.750  0.387  0.043
O  0.547  0.632  0.569
O  0.250  0.998  0.702
O  0.426  0.637  0.119
O  0.448  0.979  0.814
O  0.250  0.250  0.834
O  0.926  0.363  0.881
O  0.250  0.250  0.334
O  0.572  0.336  0.555
O  0.552  0.479  0.686
O  0.954  0.249  0.256
O  0.052  0.521  0.314
O  0.072  0.664  0.445
O  0.250  0.083  0.592
O  0.250  0.452  0.531
O  0.572  0.164  0.055
O  0.453  0.368  0.431
O  0.574  0.363  0.881
O  0.750  0.583  0.908
O  0.250  0.738  0.853

Entry 2:
Density functional theory data (PBE-GGA) for BaSbP2O8 after structural relaxation.

As for the uncorrected formation energy: -2.198 eV per atom. For the density of states at the Fermi level, the calculation gives 0.254 states/eV/atom. As for the symmetry: P-3.

Cell: 5.035 5.035 8.085 Å, 90.00 90.00 120.00°
Last column: magnetic moment on the atom in μB.
Sites, in units of the cell vectors:
Ba  0.000  0.000  0.000  0.00
Sb  0.000  0.000  0.500  0.25
P  0.667  0.333  0.268  0.01
P  0.333  0.667  0.732  0.01
O  0.333  0.667  0.921  0.04
O  0.353  0.290  0.330  0.08
O  0.710  0.063  0.330  0.08
O  0.667  0.333  0.079  0.04
O  0.290  0.937  0.670  0.08
O  0.647  0.710  0.670  0.08
O  0.063  0.353  0.670  0.08
O  0.937  0.647  0.330  0.08

Entry 3:
Density functional theory data (PBE-GGA) for BaSbP2O after structural relaxation.

As for the uncorrected formation energy: -0.371 eV per atom. For the density of states at the Fermi level, the calculation gives 1.079 states/eV/atom. As for the symmetry: P4/mmm. Its energy relative to the lowest polymorph listed for this composition is 0.0 kJ/mol of atoms.

Cell: 5.244 5.244 4.218 Å, 90.00 90.00 90.00°
Last column: magnetic moment on the atom in μB.
Sites, in units of the cell vectors:
Sb  0.000  0.000  0.000  -0.01
Ba  0.500  0.500  0.500  0.01
O  0.000  0.000  0.500  0.07
P  0.000  0.500  0.000  0.13
P  0.500  0.000  0.000  0.13

We obtain V values of 15.07, 14.79, 23.20 Å³/atom for the records listed above, in that order.
We obtain calculated total energy values of -6.596, -6.908, -4.736 eV per atom for the records listed above, in that order.